Here is a geometry-optimized Na2Mn2PtO6 structure from Alexandria via LeMat-Bulk. Energies are from PBE with a Hubbard U.

The structure belongs to space group C2/m (No. 12); the cell edges are 5.155, 9.126 and 5.736 Å and the angles 90.00°, 107.50° and 90.00°. The inequivalent atoms are Na at (0.000, 0.164, 0.000), Mn at (0.000, 0.336, 0.500), Pt at (0.000, 0.000, 0.500), O at (0.225, 0.500, 0.695) and O at (0.231, 0.171, 0.687).

As for the total energy: -6.025 eV/atom.